Run P
Entry from OQMD: a relaxed PrGe2IrPt crystal (PBE-GGA).

Lattice parameters (Å, degrees): 4.2880 4.2880 10.3391 90.00 90.00 90.00
Closest atoms and distances in Å follow each position.
Space group P4/nmm (No. 129, origin choice 2)
One atom of each set of equivalent atoms:
Pr: 0.2500 0.2500 0.2473  4 Pt 3.26, 8 Ge 3.29-3.34, 4 Ir 3.38
Ge: 0.2500 0.2500 0.6280  1 Pt 2.49, 4 Ir 2.52
Ge: 0.2500 0.7500 0.0000  4 Pt 2.54
Ir: 0.2500 0.7500 0.5000  4 Ge 2.52
Pt: 0.2500 0.2500 0.8685  5 Ge 2.49-2.54

The density comes out at 11.77 g/cm3.



Run Q
Entry from OQMD: a relaxed PrGe2IrPt crystal (PBE-GGA).

Lattice parameters (Å, degrees): 4.3872 4.3872 10.0099 90.00 90.00 90.00
Closest atoms and distances in Å follow each position.
Space group P4/nmm (No. 129, origin choice 2)
One atom of each set of equivalent atoms:
Pr: 0.2500 0.2500 0.2424  8 Ge 3.27-3.34, 5 Ir 3.33-3.65, 4 Pt 3.39
Ge: 0.2500 0.2500 0.6346  1 Ir 2.43, 4 Pt 2.57
Ge: 0.2500 0.7500 0.0000  4 Ir 2.51
Ir: 0.2500 0.2500 0.8776  5 Ge 2.43-2.51
Pt: 0.2500 0.7500 0.5000  4 Ge 2.57

The density comes out at 11.61 g/cm3.



Which is most stable, and by how much? run P, by 0.042 eV/atom.



Run P
Entry from OQMD: a relaxed TbPrGe2Ir crystal (PBE-GGA).

Lattice parameters (Å, degrees): 10.7650 4.3790 10.5188 90.00 117.04 90.00
Closest atoms and distances in Å follow each position.
Space group C2/m (No. 12)
One atom of each set of equivalent atoms:
Tb: 0.0110 0.0000 0.3335  7 Ge 3.02-3.33, 4 Ir 3.05-3.28
Pr: 0.1933 0.0000 0.1182  6 Ge 3.10-3.23, 2 Ir 3.10
Ge: 0.0136 0.5000 0.8787  1 Ir 2.60, 1 Ge 2.70
Ge: 0.1479 0.5000 0.5514  3 Ir 2.53-2.73
Ir: 0.2313 0.5000 0.3418  4 Ge 2.53-2.73

The density comes out at 9.58 g/cm3.



Run Q
Entry from OQMD: a relaxed TbPrGe2Ir crystal (PBE-GGA).

Lattice parameters (Å, degrees): 10.8486 4.3393 10.5786 90.00 117.51 90.00
Closest atoms and distances in Å follow each position.
Space group C2/m (No. 12)
One atom of each set of equivalent atoms:
Tb: 0.1881 0.0000 0.1186  2 Ir 3.01, 6 Ge 3.06-3.22
Pr: 0.0056 0.0000 0.3278  3 Ir 3.05-3.22, 7 Ge 3.07-3.35
Ge: 0.0181 0.5000 0.8872  1 Ir 2.59, 1 Ge 2.59
Ge: 0.1548 0.5000 0.5554  3 Ir 2.53-2.82
Ir: 0.2260 0.5000 0.3309  4 Ge 2.53-2.82

The density comes out at 9.58 g/cm3.



Which is most stable, and by how much? run P, by 0.008 eV/atom.



Run P
Entry from OQMD: a relaxed RbGeIr crystal (PBE-GGA).

Lattice parameters (Å, degrees): 6.9667 6.9667 6.9667 90.00 90.00 90.00
Closest atoms and distances in Å follow each position.
Space group F-43m (No. 216)
One atom of each set of equivalent atoms:
Rb: 0.0000 0.0000 0.0000  4 Ge 3.02, 4 Ir 3.02
Ge: 0.2500 0.2500 0.7500  4 Rb 3.02
Ir: 0.2500 0.2500 0.2500  4 Rb 3.02

The density comes out at 6.88 g/cm3.



Run Q
Entry from OQMD: a relaxed RbGeIr crystal (PBE-GGA).

Lattice parameters (Å, degrees): 6.6668 6.6668 6.6668 90.00 90.00 90.00
Closest atoms and distances in Å follow each position.
Space group F-43m (No. 216)
One atom of each set of equivalent atoms:
Rb: 0.0000 0.0000 0.0000  4 Ir 2.89
Ge: 0.0000 0.0000 0.5000  4 Ir 2.89
Ir: 0.2500 0.2500 0.7500  4 Ge 2.89, 4 Rb 2.89

The density comes out at 7.85 g/cm3.



Run R
Entry from OQMD: a relaxed RbGeIr crystal (PBE-GGA).

Lattice parameters (Å, degrees): 4.1959 4.1959 11.0991 90.00 90.00 90.00
Closest atoms and distances in Å follow each position.
Space group P4/nmm (No. 129, origin choice 2)
One atom of each set of equivalent atoms:
Rb: 0.2500 0.2500 0.2169  4 Ge 3.48, 4 Ir 3.78
Ge: 0.2500 0.2500 0.6190  4 Ir 2.48
Ir: 0.2500 0.7500 0.5000  4 Ge 2.48

The density comes out at 5.95 g/cm3.



Run S
Entry from OQMD: a relaxed RbGeIr crystal (PBE-GGA).

Lattice parameters (Å, degrees): 6.7026 6.7026 6.7026 90.00 90.00 90.00
Closest atoms and distances in Å follow each position.
Space group F-43m (No. 216)
One atom of each set of equivalent atoms:
Rb: 0.0000 0.0000 0.0000  4 Ge 2.90
Ge: 0.2500 0.2500 0.7500  4 Rb 2.90, 4 Ir 2.90
Ir: 0.0000 0.0000 0.5000  4 Ge 2.90

The density comes out at 7.73 g/cm3.



Which is most stable, and by how much? run R, by 1.133 eV/atom.



Run P
Entry from OQMD: a relaxed Ge3Ir2Se3 crystal (PBE-GGA).

Lattice parameters (Å, degrees): 12.2492 12.2492 15.0735 90.00 90.00 120.00
Closest atoms and distances in Å follow each position.
Space group R-3 (No. 148, hexagonal axes)
One atom of each set of equivalent atoms:
Ge: 0.0097 0.1716 0.3404  2 Ir 2.41-2.43, 1 Se 2.55
Ge: 0.0612 0.6048 0.6071  2 Ir 2.41-2.43, 1 Se 2.55
Ir: 0.0000 0.0000 0.2529  3 Ge 2.43, 3 Se 2.52
Ir: 0.0012 0.4976 0.7498  3 Ge 2.41-2.43, 3 Se 2.52-2.56
Se: 0.0236 0.1868 0.8338  2 Ir 2.52-2.56, 2 Ge 2.55-2.74
Se: 0.0504 0.5970 0.0967  2 Ir 2.52-2.55, 2 Ge 2.55-2.74

The density comes out at 8.54 g/cm3.



Run Q
Entry from OQMD: a relaxed Ge3Ir2Se3 crystal (PBE-GGA).

Lattice parameters (Å, degrees): 8.7622 8.7622 8.7622 90.00 90.00 90.00
Closest atoms and distances in Å follow each position.
Space group Pm-3 (No. 200)
One atom of each set of equivalent atoms:
Ge: 0.0000 0.1401 0.3240  1 Ge 2.45, 2 Ir 2.52
Ir: 0.2542 0.2542 0.2542  3 Se 2.45, 3 Ge 2.52
Se: 0.1625 0.5000 0.3514  2 Ir 2.45, 1 Se 2.60

The density comes out at 8.29 g/cm3.



Which is most stable, and by how much? run P, by 0.339 eV/atom.